# ErBe2Ir (PBE, relaxed)
data_ErBe2Ir
_cell_length_a 3.8674
_cell_length_b 3.8674
_cell_length_c 14.2448
_cell_angle_alpha 90.00
_cell_angle_beta 90.00
_cell_angle_gamma 120.00
_space_group_name_H-M_alt 'R -3 m'
_space_group_IT_number 166
_space_group_name_Hall '-R 3 2"'
loop_
_atom_site_label
_atom_site_fract_x
_atom_site_fract_y
_atom_site_fract_z
_atom_site_occupancy
Er1 0.0000 0.0000 0.0000 1
Be1 0.0000 0.0000 0.1979 1
Ir1 0.0000 0.0000 0.5000 1
# relative energy among the computed polymorphs	0.000	eV per atom
# density	10.192	g/cm3
# calculated formation energy	-0.530	eV/atom



# Li2PbSe (PBE, relaxed)
data_Li2PbSe
_cell_length_a 6.984
_cell_length_b 3.868
_cell_length_c 6.812
_cell_angle_alpha 90.00
_cell_angle_beta 106.23
_cell_angle_gamma 90.00
_space_group_name_H-M_alt 'C 1 2/m 1'
_space_group_IT_number 12
_space_group_name_Hall '-C 2y'
loop_
_atom_site_label
_atom_site_fract_x
_atom_site_fract_y
_atom_site_fract_z
_atom_site_occupancy
Li1 0.213 0.000 0.146 1
Pb1 0.000 0.000 0.500 1
Se1 0.000 0.500 0.000 1
# density	5.640	g/cm3
# E_form (uncorrected)	-0.611	eV/atom



# ReSn4 (PBE, relaxed)
data_ReSn4
_cell_length_a 5.238
_cell_length_b 5.238
_cell_length_c 5.238
_cell_angle_alpha 90.00
_cell_angle_beta 90.00
_cell_angle_gamma 90.00
_space_group_name_H-M_alt 'P m -3 m'
_space_group_IT_number 221
_space_group_name_Hall '-P 4 2 3'
loop_
_atom_site_label
_atom_site_fract_x
_atom_site_fract_y
_atom_site_fract_z
_atom_site_occupancy
Re1 0.000 0.000 0.000 1
Sn1 0.000 0.000 0.500 1
Sn2 0.500 0.500 0.500 1
# density	7.639	g/cm3
# calculated formation energy	0.476	eV/atom



# In2Ag2Au (PBE, relaxed)
data_In2Ag2Au
_cell_length_a 4.145
_cell_length_b 4.145
_cell_length_c 13.330
_cell_angle_alpha 90.00
_cell_angle_beta 90.00
_cell_angle_gamma 90.00
_space_group_name_H-M_alt 'I 4/m m m'
_space_group_IT_number 139
_space_group_name_Hall '-I 4 2'
loop_
_atom_site_label
_atom_site_fract_x
_atom_site_fract_y
_atom_site_fract_z
_atom_site_occupancy
In1 0.000 0.500 0.250 1
Ag1 0.000 0.000 0.099 1
Au1 0.000 0.000 0.500 1
# relative energy among the computed polymorphs	0.227	eV per atom
# density	9.317	g/cm3
# calculated formation energy	0.250	eV/atom



# TbO4 (PBE, relaxed)
data_TbO4
_cell_length_a 4.518
_cell_length_b 4.518
_cell_length_c 4.518
_cell_angle_alpha 90.00
_cell_angle_beta 90.00
_cell_angle_gamma 90.00
_space_group_name_H-M_alt 'P m -3 m'
_space_group_IT_number 221
_space_group_name_Hall '-P 4 2 3'
loop_
_atom_site_label
_atom_site_fract_x
_atom_site_fract_y
_atom_site_fract_z
_atom_site_occupancy
Tb1 0.000 0.000 0.000 1
O1 0.000 0.000 0.500 1
O2 0.500 0.500 0.500 1
# density	4.013	g/cm3
# E_form (uncorrected)	-0.440	eV/atom



# CaHPb (PBE, relaxed)
data_CaHPb
_cell_length_a 3.760
_cell_length_b 4.483
_cell_length_c 7.868
_cell_angle_alpha 90.00
_cell_angle_beta 103.57
_cell_angle_gamma 90.00
_space_group_name_H-M_alt 'P 1 21/m 1'
_space_group_IT_number 11
_space_group_name_Hall '-P 2yb'
loop_
_atom_site_label
_atom_site_fract_x
_atom_site_fract_y
_atom_site_fract_z
_atom_site_occupancy
Ca1 0.175 0.250 0.347 1
H1 0.248 0.750 0.497 1
Pb1 0.429 0.250 0.868 1
# relative energy among the computed polymorphs	0.060	eV per atom
# density	6.395	g/cm3



# Nd12Ho3In (PBE, relaxed)
data_Nd12Ho3In
_cell_length_a 5.090
_cell_length_b 5.090
_cell_length_c 20.624
_cell_angle_alpha 90.00
_cell_angle_beta 90.00
_cell_angle_gamma 90.00
_space_group_name_H-M_alt 'P 4/m m m'
_space_group_IT_number 123
_space_group_name_Hall '-P 4 2'
loop_
_atom_site_label
_atom_site_fract_x
_atom_site_fract_y
_atom_site_fract_z
_atom_site_occupancy
Nd1 0.000 0.000 0.000 1
Nd2 0.000 0.000 0.247 1
Nd3 0.000 0.000 0.500 1
Nd4 0.000 0.500 0.121 1
Nd5 0.000 0.500 0.374 1
Ho1 0.500 0.500 0.248 1
Ho2 0.500 0.500 0.500 1
In1 0.500 0.500 0.000 1
# density	7.274	g/cm3
# calculated formation energy	-0.050	eV/atom



# AcPm2NdSm2 (PBE, relaxed)
data_AcPm2NdSm2
_cell_length_a 6.759
_cell_length_b 18.479
_cell_length_c 3.517
_cell_angle_alpha 90.00
_cell_angle_beta 90.00
_cell_angle_gamma 90.00
_space_group_name_H-M_alt 'P n n m'
_space_group_IT_number 58
_space_group_name_Hall '-P 2 2n'
loop_
_atom_site_label
_atom_site_fract_x
_atom_site_fract_y
_atom_site_fract_z
_atom_site_occupancy
Ac1 0.000 0.000 0.000 1
Pm1 0.203 0.348 0.500 1
Nd1 0.000 0.500 0.000 1
Sm1 0.210 0.186 0.000 1
# density	7.273	g/cm3
# calculated formation energy	0.273	eV/atom



- The lowest density belongs to which entry?
  TbO4